--- P ---
An optimized crystal structure of ZrSc2V, computed with PBE.

Values from the calculation:
symmetry: Fm-3m (225)
volume: 21.4 Å³/atom
D(E_F): 6.36 states/eV/cell

Geometry as POSCAR:
```
ZrSc2V
1.0
0.000 3.498 3.498
3.498 0.000 3.498
3.498 3.498 0.000
Zr Sc V
1 2 1
Direct
0.000 0.000 0.000 Zr
0.250 0.250 0.250 Sc
0.750 0.750 0.750 Sc
0.500 0.500 0.500 V
```


--- Q ---
An optimized crystal structure of ZrSc2V, computed with PBE.

Values from the calculation:
symmetry: I-42d (122)
volume: 21.9 Å³/atom
D(E_F): 11.94 states/eV/cell

Geometry as POSCAR:
```
ZrSc2V
1.0
-3.863 3.863 2.933
3.863 -3.863 2.933
3.863 3.863 -2.933
Zr Sc V
2 4 2
Direct
0.000 0.000 0.000 Zr
0.750 0.250 0.500 Zr
0.159 0.625 0.034 Sc
0.375 0.409 0.534 Sc
0.591 0.125 0.966 Sc
0.875 0.841 0.466 Sc
0.250 0.750 0.500 V
0.500 0.500 0.000 V
```


Best to worst by energy: P, Q.